1.
DFT (PBE) results for a relaxed Nd4Ho5Cd2 crystal.

The density of states at the Fermi level is 15.33 states/eV/cell. For the density, the calculation gives 7.86 g cm⁻³. The value obtained for the total energy is -3.9705 eV per atom.

a = 3.5056 Å, b = 8.6486 Å, c = 11.3563 Å
α = 93.91°, β = 90.00°, γ = 90.00°
Fractional positions:
1 Nd 0.5000 0.7182 0.5481
2 Nd 0.5000 0.1451 0.8820
3 Nd 0.5000 0.2818 0.4519
4 Nd 0.5000 0.8549 0.1180
5 Ho 0.0000 0.5723 0.2923
6 Ho 0.0000 0.5000 0.0000
7 Ho 0.0000 0.7956 0.8313
8 Ho 0.0000 0.4277 0.7077
9 Ho 0.0000 0.2044 0.1687
10 Cd 0.0000 0.0533 0.6311
11 Cd 0.0000 0.9467 0.3689



2.
DFT (PBE) results for a relaxed Nd2Ho5Cd crystal.

The density of states at the Fermi level is 7.36 states/eV/cell. For the density, the calculation gives 8.30 g cm⁻³. The value obtained for the total energy is -4.1925 eV per atom.

a = 6.9729 Å, b = 6.9554 Å, c = 7.0585 Å
α = 119.56°, β = 119.66°, γ = 89.91°
Fractional positions:
1 Ho 0.7224 0.7249 0.4443
2 Ho 0.7084 0.2167 0.9212
3 Ho 0.7397 0.7428 0.9725
4 Ho 0.2114 0.2146 0.9160
5 Ho 0.2315 0.7398 0.9674
6 Cd 0.2210 0.2105 0.4442
7 Nd 0.7186 0.2424 0.4442
8 Nd 0.2239 0.6852 0.4442



3.
DFT (PBE) results for a relaxed NdHo8Cd2 crystal.

The density of states at the Fermi level is 17.76 states/eV/cell. For the density, the calculation gives 7.45 g cm⁻³. The value obtained for the total energy is -3.5985 eV per atom.

a = 5.2675 Å, b = 8.6899 Å, c = 8.6899 Å
α = 74.62°, β = 81.26°, γ = 81.26°
Fractional positions:
1 Ho 0.2093 0.8292 0.3637
2 Ho 0.2093 0.3637 0.8292
3 Ho 0.7092 0.5827 0.5827
4 Ho 0.1165 0.7615 0.7615
5 Ho 0.2908 0.4173 0.4173
6 Ho 0.8835 0.2385 0.2385
7 Ho 0.7907 0.6363 0.1708
8 Ho 0.7907 0.1708 0.6363
9 Cd 0.5572 0.8661 0.8661
10 Cd 0.4428 0.1339 0.1339
11 Nd 0.0000 0.0000 0.0000



4.
DFT (PBE) results for a relaxed Nd2Ho4Cd crystal.

The density of states at the Fermi level is 10.04 states/eV/cell. For the density, the calculation gives 7.92 g cm⁻³. The value obtained for the total energy is -4.1058 eV per atom.

a = 3.5882 Å, b = 8.1992 Å, c = 8.8461 Å
α = 118.62°, β = 101.70°, γ = 90.00°
Fractional positions:
1 Ho 0.5588 0.3830 0.1175
2 Ho 0.8592 0.1854 0.7185
3 Ho 0.4412 0.6170 0.8825
4 Ho 0.1408 0.8146 0.2815
5 Nd 0.7859 0.7042 0.5719
6 Nd 0.2141 0.2958 0.4281
7 Cd 0.0000 0.0000 0.0000



5.
DFT (PBE) results for a relaxed NdHoCd17 crystal.

The density of states at the Fermi level is 5.25 states/eV/cell. For the density, the calculation gives 8.40 g cm⁻³. The value obtained for the total energy is -1.4360 eV per atom.

a = 7.6683 Å, b = 7.6683 Å, c = 7.6683 Å
α = 82.03°, β = 82.03°, γ = 82.03°
Fractional positions:
1 Ho 0.3242 0.3242 0.3242
2 Nd 0.6683 0.6683 0.6683
3 Cd 0.2088 0.6216 0.6216
4 Cd 0.0024 0.3009 0.6952
5 Cd 0.6216 0.6216 0.2088
6 Cd 0.5252 0.9771 0.9771
7 Cd 0.3009 0.0024 0.6952
8 Cd 0.1040 0.1040 0.1040
9 Cd 0.3009 0.6952 0.0024
10 Cd 0.0024 0.6952 0.3009
11 Cd 0.9771 0.5252 0.9771
12 Cd 0.8761 0.3453 0.3453
13 Cd 0.6216 0.2088 0.6216
14 Cd 0.6952 0.0024 0.3009
15 Cd 0.9771 0.9771 0.5252
16 Cd 0.3453 0.8761 0.3453
17 Cd 0.6952 0.3009 0.0024
18 Cd 0.9083 0.9083 0.9083
19 Cd 0.3453 0.3453 0.8761



6.
DFT (PBE) results for a relaxed Nd2HoCd6 crystal.

The density of states at the Fermi level is 7.70 states/eV/cell. For the density, the calculation gives 8.21 g cm⁻³. The value obtained for the total energy is -2.5077 eV per atom.

a = 3.4394 Å, b = 8.7540 Å, c = 8.7540 Å
α = 120.00°, β = 90.00°, γ = 90.00°
Each line ends with the local moment (μB).
Fractional positions:
1 Cd 0.5000 0.0000 0.6701  0.00
2 Cd 0.5000 0.0000 0.3299  0.00
3 Cd 0.5000 0.6701 0.0000  0.00
4 Cd 0.5000 0.3299 0.3299  0.00
5 Cd 0.5000 0.6701 0.6701  0.00
6 Cd 0.5000 0.3299 0.0000  0.00
7 Nd 0.0000 0.6667 0.3333  0.07
8 Nd 0.0000 0.3333 0.6667  0.07
9 Ho 0.0000 0.0000 0.0000  0.02